Material: Co2ReAsS
Method: DFT, PBE
State: relaxed

Properties
- Formation energy without anion corrections: 1.2597 eV per atom
- DOS(E_F): 6.833 states/eV/cell
- DFT total energy: -5.828 eV per atom

The structure in CIF format:
```
data_Co2ReAsS
_chemical_formula_sum 'Co2 Re1 As1 S1'
_symmetry_space_group_name_H-M 'P 4/m m m'
_symmetry_Int_Tables_number 123
_symmetry_space_group_name_Hall '-P 4 2'
_cell_length_a 4.315
_cell_length_b 4.315
_cell_length_c 4.693
_cell_angle_alpha 90.00
_cell_angle_beta 90.00
_cell_angle_gamma 90.00
loop_
_atom_site_label
_atom_site_type_symbol
_atom_site_fract_x
_atom_site_fract_y
_atom_site_fract_z
Co1 Co 0.000 0.500 0.000
Re1 Re 0.000 0.000 0.500
As1 As 0.000 0.000 0.000
S1 S 0.500 0.500 0.500
```